First-principles (PBE+U) data for a geometry-optimized TeWI2O structure, as listed in Alexandria.

It has space group P4/mmm (No. 123), with a = 6.0112 Å, b = 6.0112 Å, c = 3.8819 Å, α = 90.00°, β = 90.00° and γ = 90.00°. The asymmetric unit holds Te at (0.0000, 0.0000, 0.0000), W at (0.5000, 0.5000, 0.5000), I at (0.0000, 0.5000, 0.5000) and O at (0.5000, 0.5000, 0.0000).

The calculation puts the total energy at -19.0 eV for the cell shown. For the energy above the most stable polymorph in this dataset, the calculation gives 0.0000 eV per atom.